Compound: HgMoAu2
Source: Alexandria
Functional: PBE
Structure: optimized geometry

Calculated values
Total magnetic moment in Bohr magnetons per cell: 1.92
Total energy in hartree per atom: -0.146

Cell lengths 4.983, 4.983, 4.983 Å; angles 128.55, 128.55, 75.74 degrees
Site moments in Bohr magnetons follow the coordinates.
Element x y z (fractional)
Au 0.000 0.000 0.000  0.05
Au 0.250 0.750 0.500  0.02
Hg 0.500 0.500 0.000  0.01
Mo 0.750 0.250 0.500  1.69